# GGA+U KCrPtF6, relaxed
data_KCrPtF6
_symmetry_space_group_name_H-M 'P 1'
_symmetry_Int_Tables_number 1
_symmetry_space_group_name_Hall 'P 1'
_cell_length_a 5.5379
_cell_length_b 6.0695
_cell_length_c 5.5965
_cell_angle_alpha 93.73
_cell_angle_beta 92.10
_cell_angle_gamma 56.94
loop_
_atom_site_label
_atom_site_type_symbol
_atom_site_fract_x
_atom_site_fract_y
_atom_site_fract_z
Cr1 Cr 0.6510 0.6747 0.5003
F1 F 0.9945 0.6502 0.6787
F2 F 0.3945 0.7025 0.2619
F3 F 0.9918 0.3570 0.3194
F4 F 0.6402 0.9788 0.3491
F5 F 0.4001 0.9009 0.7416
F6 F 0.6410 0.3802 0.6506
K1 K 0.9583 0.0204 0.9991
Pt1 Pt 0.3283 0.3354 0.4993
# Energy, eV/atom: -4.9787
# Space group: No. 1
# Crystal system: triclinic